Version i
# BaTcAg, optimized geometry, DFT PBE
# DOS at the Fermi energy	4.08	states/eV/f.u.
data_BaTcAg
_chemical_formula_sum 'Ba4 Tc4 Ag4'
_symmetry_space_group_name_H-M 'F -4 3 m'
_symmetry_Int_Tables_number 216
_symmetry_space_group_name_Hall 'F -4 2 3'
_cell_length_a 7.390
_cell_length_b 7.390
_cell_length_c 7.390
_cell_angle_alpha 90.00
_cell_angle_beta 90.00
_cell_angle_gamma 90.00
loop_
_atom_site_label
_atom_site_type_symbol
_atom_site_fract_x
_atom_site_fract_y
_atom_site_fract_z
Ba1 Ba 0.000 0.000 0.000
Tc1 Tc 0.250 0.250 0.250
Ag1 Ag 0.250 0.250 0.750


Version ii
# BaTcAg, optimized geometry, DFT PBE
# DOS at the Fermi energy	2.95	states/eV/f.u.
data_BaTcAg
_chemical_formula_sum 'Ba4 Tc4 Ag4'
_symmetry_space_group_name_H-M 'F -4 3 m'
_symmetry_Int_Tables_number 216
_symmetry_space_group_name_Hall 'F -4 2 3'
_cell_length_a 6.996
_cell_length_b 6.996
_cell_length_c 6.996
_cell_angle_alpha 90.00
_cell_angle_beta 90.00
_cell_angle_gamma 90.00
loop_
_atom_site_label
_atom_site_type_symbol
_atom_site_fract_x
_atom_site_fract_y
_atom_site_fract_z
Ba1 Ba 0.000 0.000 0.000
Tc1 Tc 0.250 0.250 0.250
Ag1 Ag 0.000 0.000 0.500


version ii is the most stable structure; the next one sits 45.0 kJ/mol of atoms above it.


Version i
# BaTcAg, optimized geometry, DFT PBE
# DOS at the Fermi energy	3.83	states/eV/f.u.
data_BaTcAg
_chemical_formula_sum 'Ba2 Tc2 Ag2'
_symmetry_space_group_name_H-M 'I m m 2'
_symmetry_Int_Tables_number 44
_cell_length_a 3.080
_cell_length_b 4.227
_cell_length_c 11.426
_cell_angle_alpha 90.00
_cell_angle_beta 90.00
_cell_angle_gamma 90.00
loop_
_symmetry_equiv_pos_as_xyz
'x,y,z'
'-x,-y,z'
'-x,y,z'
'x,-y,z'
'x+1/2,y+1/2,z+1/2'
'-x+1/2,-y+1/2,z+1/2'
'-x+1/2,y+1/2,z+1/2'
'x+1/2,-y+1/2,z+1/2'
loop_
_atom_site_label
_atom_site_type_symbol
_atom_site_fract_x
_atom_site_fract_y
_atom_site_fract_z
Ba1 Ba 0.000 0.000 0.000
Tc1 Tc 0.000 0.000 0.709
Ag1 Ag 0.000 0.000 0.287


Version ii
# BaTcAg, optimized geometry, DFT PBE
# DOS at the Fermi energy	3.10	states/eV/f.u.
data_BaTcAg
_chemical_formula_sum 'Ba1 Tc1 Ag1'
_symmetry_space_group_name_H-M 'P 3 m 1'
_symmetry_Int_Tables_number 156
_cell_length_a 3.2467
_cell_length_b 3.2467
_cell_length_c 7.8371
_cell_angle_alpha 90.00
_cell_angle_beta 90.00
_cell_angle_gamma 120.00
loop_
_symmetry_equiv_pos_as_xyz
'x,y,z'
'-y,x-y,z'
'-x+y,-x,z'
'-y,-x,z'
'-x+y,y,z'
'x,x-y,z'
loop_
_atom_site_label
_atom_site_type_symbol
_atom_site_fract_x
_atom_site_fract_y
_atom_site_fract_z
Ba1 Ba 0.0000 0.0000 0.0000
Tc1 Tc 0.6667 0.3333 0.3361
Ag1 Ag 0.3333 0.6667 0.6130


Version iii
# BaTcAg, optimized geometry, DFT PBE
# DOS at the Fermi energy	2.86	states/eV/f.u.
data_BaTcAg
_chemical_formula_sum 'Ba1 Tc1 Ag1'
_symmetry_space_group_name_H-M 'P -6 m 2'
_symmetry_Int_Tables_number 187
_symmetry_space_group_name_Hall 'P -6 2'
_cell_length_a 4.6403
_cell_length_b 4.6403
_cell_length_c 4.7367
_cell_angle_alpha 90.00
_cell_angle_beta 90.00
_cell_angle_gamma 120.00
loop_
_atom_site_label
_atom_site_type_symbol
_atom_site_fract_x
_atom_site_fract_y
_atom_site_fract_z
Ba1 Ba 0.0000 0.0000 0.0000
Tc1 Tc 0.6667 0.3333 0.5000
Ag1 Ag 0.3333 0.6667 0.5000


version iii is the most stable structure; the next one sits 4.5 kJ/mol of atoms above it.


Version i
# BaTcAg2, optimized geometry, DFT PBE
# DOS at the Fermi energy	2.19	states/eV/f.u.
data_BaTcAg2
_chemical_formula_sum 'Ba4 Tc4 Ag8'
_symmetry_space_group_name_H-M 'F -4 3 m'
_symmetry_Int_Tables_number 216
_symmetry_space_group_name_Hall 'F -4 2 3'
_cell_length_a 7.271
_cell_length_b 7.271
_cell_length_c 7.271
_cell_angle_alpha 90.00
_cell_angle_beta 90.00
_cell_angle_gamma 90.00
loop_
_atom_site_label
_atom_site_type_symbol
_atom_site_fract_x
_atom_site_fract_y
_atom_site_fract_z
Ba1 Ba 0.000 0.000 0.000
Tc1 Tc 0.250 0.250 0.250
Ag1 Ag 0.000 0.000 0.500
Ag2 Ag 0.250 0.250 0.750


Version ii
# BaTcAg2, optimized geometry, DFT PBE
# DOS at the Fermi energy	3.00	states/eV/f.u.
data_BaTcAg2
_chemical_formula_sum 'Ba2 Tc2 Ag4'
_symmetry_space_group_name_H-M 'C 1 2/m 1'
_symmetry_Int_Tables_number 12
_cell_length_a 8.151
_cell_length_b 4.705
_cell_length_c 6.335
_cell_angle_alpha 90.00
_cell_angle_beta 115.52
_cell_angle_gamma 90.00
loop_
_symmetry_equiv_pos_as_xyz
'x,y,z'
'-x,-y,-z'
'-x,y,-z'
'x,-y,z'
'x+1/2,y+1/2,z'
'-x+1/2,-y+1/2,-z'
'-x+1/2,y+1/2,-z'
'x+1/2,-y+1/2,z'
loop_
_atom_site_label
_atom_site_type_symbol
_atom_site_fract_x
_atom_site_fract_y
_atom_site_fract_z
Ba1 Ba 0.000 0.000 0.000
Tc1 Tc 0.000 0.500 0.500
Ag1 Ag 0.194 0.000 0.583


version ii is the most stable structure; the next one sits 32.7 kJ/mol of atoms above it.


Version i
# BaTcAg2, optimized geometry, DFT PBE
# DOS at the Fermi energy	2.99	states/eV/f.u.
data_BaTcAg2
_chemical_formula_sum 'Ba3 Tc3 Ag6'
_symmetry_space_group_name_H-M 'R -3 m'
_symmetry_Int_Tables_number 166
_symmetry_space_group_name_Hall '-R 3 2"'
_cell_length_a 3.0840
_cell_length_b 3.0840
_cell_length_c 31.6088
_cell_angle_alpha 90.00
_cell_angle_beta 90.00
_cell_angle_gamma 120.00
loop_
_atom_site_label
_atom_site_type_symbol
_atom_site_fract_x
_atom_site_fract_y
_atom_site_fract_z
Ba1 Ba 0.0000 0.0000 0.0000
Tc1 Tc 0.0000 0.0000 0.5000
Ag1 Ag 0.0000 0.0000 0.2379


Version ii
# BaTcAg2, optimized geometry, DFT PBE
# DOS at the Fermi energy	2.86	states/eV/f.u.
data_BaTcAg2
_chemical_formula_sum 'Ba2 Tc2 Ag4'
_symmetry_space_group_name_H-M 'C m m m'
_symmetry_Int_Tables_number 65
_symmetry_space_group_name_Hall '-C 2 2'
_cell_length_a 6.176
_cell_length_b 9.076
_cell_length_c 3.101
_cell_angle_alpha 90.00
_cell_angle_beta 90.00
_cell_angle_gamma 90.00
loop_
_atom_site_label
_atom_site_type_symbol
_atom_site_fract_x
_atom_site_fract_y
_atom_site_fract_z
Ba1 Ba 0.000 0.000 0.000
Tc1 Tc 0.000 0.500 0.000
Ag1 Ag 0.250 0.250 0.500


version ii is the most stable structure; the next one sits 13.7 kJ/mol of atoms above it.